Record 1
DFT (GGA-PBE) results for In2Cu2Tc after structural relaxation.

```
In2Cu2Tc
1.0
-4.287 0.367 5.845
-5.712 -1.861 -4.073
0.558 -3.023 0.599
In Cu Tc
4 4 2
direct
0.680 0.820 0.500
0.180 0.680 0.500
0.820 0.320 0.500
0.320 0.180 0.500
0.120 0.380 0.000
0.880 0.620 0.000
0.620 0.120 0.000
0.380 0.880 0.000
0.500 0.500 0.000
0.000 0.000 0.000
```

## Properties
As for the crystal system: tetragonal. As for the formation energy: 1.6 eV/f.u.



Record 2
DFT (GGA-PBE) results for Cs2RuI6 after structural relaxation.

```
Cs2RuI6
1.0
8.018 0.000 0.000
0.000 8.018 0.000
0.000 0.000 15.870
I Ru Cs
12 2 4
direct
0.739 0.261 0.500
0.669 0.669 0.622
0.331 0.331 0.622
0.261 0.739 0.500
0.239 0.239 0.000
0.831 0.169 0.122
0.169 0.831 0.878
0.169 0.831 0.122
0.331 0.331 0.378
0.831 0.169 0.878
0.669 0.669 0.378
0.761 0.761 0.000
0.000 0.000 0.000
0.500 0.500 0.500
0.500 0.500 0.167
0.500 0.500 0.833
0.000 0.000 0.667
0.000 0.000 0.333
```

## Properties
Its formation energy from raw total energies is -0.6095 eV per atom. As for the crystal system: tetragonal.